(1)
A plane-wave DFT calculation with PBE-GGA was carried out for a relaxed structure of CrTePt2.

abc: 3.027 3.027 27.355
angles: 90.00 90.00 120.00
Fractional positions:
Cr1 0.000 0.000 0.000
Cr2 0.333 0.667 0.667
Cr3 0.667 0.333 0.333
Te1 0.000 0.000 0.500
Te2 0.333 0.667 0.167
Te3 0.667 0.333 0.833
Pt1 0.000 0.000 0.262
Pt2 0.000 0.000 0.738
Pt3 0.333 0.667 0.404
Pt4 0.333 0.667 0.929
Pt5 0.667 0.333 0.071
Pt6 0.667 0.333 0.596

The size of the total moment comes out at 10.077 μB per cell. The calculation puts the density of states at the Fermi level at 0.54 states/eV/atom. As for the space-group type: No. 166. The value obtained for the final energy is -6.038 eV per atom.



(2)
A plane-wave DFT calculation with PBE-GGA was carried out for a relaxed structure of YSeBr.

abc: 5.093 5.111 13.820
angles: 90.00 90.00 90.00
Fractional positions:
Y1 0.000 0.000 0.000
Y2 0.000 0.500 0.500
Y3 0.500 0.000 0.500
Y4 0.500 0.500 0.000
Se1 0.000 0.000 0.399
Se2 0.000 0.500 0.899
Se3 0.500 0.000 0.899
Se4 0.500 0.500 0.399
Br1 0.000 0.000 0.641
Br2 0.000 0.500 0.141
Br3 0.500 0.000 0.141
Br4 0.500 0.500 0.641

The size of the total moment comes out at 0.000 μB per cell. The calculation puts the density of states at the Fermi level at 0.04 states/eV/atom. As for the space-group type: No. 42. The value obtained for the final energy is -5.445 eV per atom.



(3)
A plane-wave DFT calculation with PBE-GGA was carried out for a relaxed structure of NaBeV2Cr.

abc: 4.214 4.214 5.014
angles: 90.00 90.00 90.00
Fractional positions:
Na1 0.000 0.000 0.000
Be1 0.500 0.500 0.000
V1 0.000 0.500 0.500
V2 0.500 0.000 0.500
Cr1 0.000 0.000 0.500

The size of the total moment comes out at 0.001 μB per cell. The calculation puts the density of states at the Fermi level at 1.36 states/eV/atom. The calculation puts the formation energy at 1.479 eV/atom. As for the space-group type: No. 123.



(4)
A plane-wave DFT calculation with PBE-GGA was carried out for a relaxed structure of HfP.

abc: 5.802 5.802 5.802
angles: 90.00 90.00 90.00
Fractional positions:
Hf1 0.000 0.000 0.000
Hf2 0.000 0.500 0.500
Hf3 0.500 0.000 0.500
Hf4 0.500 0.500 0.000
P1 0.250 0.250 0.250
P2 0.250 0.750 0.750
P3 0.750 0.250 0.750
P4 0.750 0.750 0.250

The size of the total moment comes out at 0.000 μB per cell. The calculation puts the density of states at the Fermi level at 0.35 states/eV/atom. The calculation puts the formation energy at -0.589 eV/atom. As for the space-group type: No. 216.



(5)
A plane-wave DFT calculation with PBE-GGA was carried out for a relaxed structure of CsAc2Ru.

abc: 3.778 3.778 11.871
angles: 90.00 90.00 90.00
Fractional positions:
Cs1 0.000 0.000 0.000
Ac1 0.500 0.500 0.352
Ac2 0.500 0.500 0.648
Ru1 0.000 0.000 0.500

The size of the total moment comes out at 0.231 μB per cell. The calculation puts the density of states at the Fermi level at 1.17 states/eV/atom. The calculation puts the formation energy at 0.139 eV/atom. As for the space-group type: No. 123. For the polymorph energy (0 for the lowest one), the calculation gives 154.7 meV/atom.



(6)
A plane-wave DFT calculation with PBE-GGA was carried out for a relaxed structure of SrAc7Pr3.

abc: 8.438 8.438 7.104
angles: 94.44 94.44 83.09
Fractional positions:
Sr1 0.000 0.000 0.000
Ac1 0.000 0.000 0.500
Ac2 0.081 0.426 0.755
Ac3 0.271 0.271 0.283
Ac4 0.426 0.081 0.755
Ac5 0.574 0.919 0.245
Ac6 0.729 0.729 0.717
Ac7 0.919 0.574 0.245
Pr1 0.335 0.665 0.500
Pr2 0.500 0.500 0.000
Pr3 0.665 0.335 0.500

The size of the total moment comes out at 0.000 μB per cell. The calculation puts the density of states at the Fermi level at 1.47 states/eV/atom. The calculation puts the formation energy at 0.229 eV/atom. As for the space-group type: No. 12.